{
  "formula": "TlCdCo2Cl8",
  "functional": "PBE-GGA",
  "state": "optimized geometry",
  "final_energy_ev_per_atom": -3.432,
  "n_ef_per_ev_cell": 12.4,
  "spacegroup": "No. 148",
  "cell": [[-5.219, 2.446, 2.757], [-5.192, 1.229, -3.515], [-6.623, -7.365, 1.402]],
  "species": ["Tl", "Cd", "Co", "Co", "Cl", "Cl", "Cl", "Cl", "Cl", "Cl", "Cl", "Cl"],
  "frac_coords": [[0.500, 0.500, 0.500], [0.000, 0.000, 0.000], [0.253, 0.253, 0.242], [0.747, 0.747, 0.758], [0.174, 0.174, 0.477], [0.606, 0.282, 0.170], [0.826, 0.826, 0.523], [0.942, 0.606, 0.170], [0.058, 0.394, 0.830], [0.282, 0.942, 0.170], [0.718, 0.058, 0.830], [0.394, 0.718, 0.830]]
}



{
  "formula": "Ti2InBi",
  "functional": "PBE-GGA",
  "state": "optimized geometry",
  "ef_ev_per_atom": 0.185,
  "final_energy_ev_per_atom": -5.417,
  "n_ef_per_ev_cell": 2.5,
  "spacegroup": "No. 160",
  "de_polymorph_mev_per_atom": 141,
  "cell": [[4.392, 0.000, 0.000], [2.196, 3.804, 0.000], [2.196, 1.268, 5.709]],
  "species": ["Ti", "Ti", "In", "Bi"],
  "frac_coords": [[0.083, 0.083, 0.752], [0.252, 0.252, 0.243], [0.494, 0.494, 0.517], [0.671, 0.671, 0.987]]
}